A plane-wave DFT calculation with PBE-GGA was carried out for crystalline Cs2TmZn2O4 at its relaxed geometry.

Output
- Size of the total moment: 0.00 μB/f.u.
- Crystal system: monoclinic
- Raw total energy: -4.9063 eV/atom

Cell and atoms, written as CIF:
```
data_Cs2TmZn2O4
_cell_length_a 14.5649
_cell_length_b 3.4348
_cell_length_c 7.1669
_cell_angle_alpha 90.00
_cell_angle_beta 108.19
_cell_angle_gamma 90.00
_space_group_name_H-M_alt 'C 1 2/m 1'
_space_group_IT_number 12
loop_
_space_group_symop_operation_xyz
'x,y,z'
'-x,-y,-z'
'-x,y,-z'
'x,-y,z'
'x+1/2,y+1/2,z'
'-x+1/2,-y+1/2,-z'
'-x+1/2,y+1/2,-z'
'x+1/2,-y+1/2,z'
loop_
_atom_site_label
_atom_site_fract_x
_atom_site_fract_y
_atom_site_fract_z
Cs1 0.1305 0.0000 0.0578
Tm1 0.0000 0.0000 0.5000
Zn1 0.1774 0.5000 0.5336
O1 0.0416 0.5000 0.3330
O2 0.1629 0.0000 0.6776
```

=====

A plane-wave DFT calculation with PBE-GGA was carried out for crystalline Cs2UO6 at its relaxed geometry.

Output
- Size of the total moment: 2.09 μB/f.u.
- Crystal system: monoclinic
- Raw total energy: -6.6425 eV/atom

Cell and atoms, written as CIF:
```
data_Cs2UO6
_cell_length_a 13.3937
_cell_length_b 6.5994
_cell_length_c 5.0330
_cell_angle_alpha 90.00
_cell_angle_beta 111.84
_cell_angle_gamma 90.00
_space_group_name_H-M_alt 'C 1 2/m 1'
_space_group_IT_number 12
loop_
_space_group_symop_operation_xyz
'x,y,z'
'-x,-y,-z'
'-x,y,-z'
'x,-y,z'
'x+1/2,y+1/2,z'
'-x+1/2,-y+1/2,-z'
'-x+1/2,y+1/2,-z'
'x+1/2,-y+1/2,z'
loop_
_atom_site_label
_atom_site_fract_x
_atom_site_fract_y
_atom_site_fract_z
Cs1 0.1670 0.0000 0.1670
U1 0.0000 0.5000 0.5000
O1 0.0000 0.3987 0.0000
O2 0.1110 0.2933 0.6101
```

=====

A plane-wave DFT calculation with PBE-GGA was carried out for crystalline CsU3O9 at its relaxed geometry.

Output
- Size of the total moment: 1.01 μB/f.u.
- Crystal system: hexagonal
- Raw total energy: -9.1759 eV/atom

Cell and atoms, written as CIF:
```
data_CsU3O9
_cell_length_a 8.0954
_cell_length_b 8.0954
_cell_length_c 4.1938
_cell_angle_alpha 90.00
_cell_angle_beta 90.00
_cell_angle_gamma 120.00
_space_group_name_H-M_alt 'P 6/m m m'
_space_group_IT_number 191
_space_group_name_Hall '-P 6 2'
loop_
_atom_site_label
_atom_site_fract_x
_atom_site_fract_y
_atom_site_fract_z
Cs1 0.0000 0.0000 0.0000
U1 0.0000 0.5000 0.5000
O1 0.0000 0.5000 0.0000
O2 0.2072 0.4144 0.5000
```

=====

A plane-wave DFT calculation with PBE-GGA was carried out for crystalline Cs3U2O7 at its relaxed geometry.

Output
- ΔE to the lowest computed polymorph: 0 meV/atom
- Size of the total moment: 1.00 μB/f.u.
- Crystal system: tetragonal
- Raw total energy: -7.6804 eV/atom

Cell and atoms, written as CIF:
```
data_Cs3U2O7
_cell_length_a 4.4091
_cell_length_b 4.4091
_cell_length_c 24.2356
_cell_angle_alpha 90.00
_cell_angle_beta 90.00
_cell_angle_gamma 90.00
_space_group_name_H-M_alt 'I 4/m m m'
_space_group_IT_number 139
_space_group_name_Hall '-I 4 2'
loop_
_atom_site_label
_atom_site_fract_x
_atom_site_fract_y
_atom_site_fract_z
Cs1 0.0000 0.0000 0.0000
Cs2 0.0000 0.0000 0.1904
U1 0.0000 0.0000 0.4092
O1 0.0000 0.0000 0.3283
O2 0.0000 0.0000 0.5000
O3 0.0000 0.5000 0.0918
```

=====

A plane-wave DFT calculation with PBE-GGA was carried out for crystalline Cs3U2O7 at its relaxed geometry.

Output
- ΔE to the lowest computed polymorph: 11 meV/atom
- Size of the total moment: 1.00 μB/f.u.
- Crystal system: orthorhombic
- Raw total energy: -7.6693 eV/atom

Cell and atoms, written as CIF:
```
data_Cs3U2O7
_cell_length_a 4.4062
_cell_length_b 26.0491
_cell_length_c 4.3970
_cell_angle_alpha 90.00
_cell_angle_beta 90.00
_cell_angle_gamma 90.00
_space_group_name_H-M_alt 'C m m m'
_space_group_IT_number 65
_space_group_name_Hall '-C 2 2'
loop_
_atom_site_label
_atom_site_fract_x
_atom_site_fract_y
_atom_site_fract_z
Cs1 0.0000 0.0000 0.0000
Cs2 0.0000 0.1774 0.0000
U1 0.0000 0.4155 0.5000
O1 0.0000 0.0857 0.5000
O2 0.0000 0.3403 0.5000
O3 0.0000 0.4143 0.0000
O4 0.0000 0.5000 0.5000
```

=====

A plane-wave DFT calculation with PBE-GGA was carried out for crystalline Cs3UO4 at its relaxed geometry.

Output
- Size of the total moment: 0.00 μB/f.u.
- Crystal system: orthorhombic
- Raw total energy: -6.3285 eV/atom

Cell and atoms, written as CIF:
```
data_Cs3UO4
_cell_length_a 7.0366
_cell_length_b 11.5558
_cell_length_c 5.6261
_cell_angle_alpha 90.00
_cell_angle_beta 90.00
_cell_angle_gamma 90.00
_space_group_name_H-M_alt 'I m m 2'
_space_group_IT_number 44
loop_
_space_group_symop_operation_xyz
'x,y,z'
'-x,-y,z'
'-x,y,z'
'x,-y,z'
'x+1/2,y+1/2,z+1/2'
'-x+1/2,-y+1/2,z+1/2'
'-x+1/2,y+1/2,z+1/2'
'x+1/2,-y+1/2,z+1/2'
loop_
_atom_site_label
_atom_site_fract_x
_atom_site_fract_y
_atom_site_fract_z
Cs1 0.0000 0.0000 0.0000
Cs2 0.0000 0.2237 0.5011
U1 0.0000 0.5000 0.9971
O1 0.0000 0.3282 0.0041
O2 0.2222 0.0000 0.4881
```

=====

A plane-wave DFT calculation with PBE-GGA was carried out for crystalline Cs2U2O7 at its relaxed geometry.

Output
- Size of the total moment: 0.00 μB/f.u.
- Crystal system: monoclinic
- Raw total energy: -8.1997 eV/atom

Cell and atoms, written as CIF:
```
data_Cs2U2O7
_cell_length_a 14.6234
_cell_length_b 4.3498
_cell_length_c 7.7328
_cell_angle_alpha 90.00
_cell_angle_beta 112.97
_cell_angle_gamma 90.00
_space_group_name_H-M_alt 'C 1 2/m 1'
_space_group_IT_number 12
loop_
_space_group_symop_operation_xyz
'x,y,z'
'-x,-y,-z'
'-x,y,-z'
'x,-y,z'
'x+1/2,y+1/2,z'
'-x+1/2,-y+1/2,-z'
'-x+1/2,y+1/2,-z'
'x+1/2,-y+1/2,z'
loop_
_atom_site_label
_atom_site_fract_x
_atom_site_fract_y
_atom_site_fract_z
Cs1 0.1058 0.0000 0.4242
U1 0.1471 0.5000 0.9927
O1 0.0000 0.5000 0.0000
O2 0.0890 0.5000 0.7287
O3 0.1913 0.0000 0.9965
O4 0.1977 0.5000 0.2569
```

=====

A plane-wave DFT calculation with PBE-GGA was carried out for crystalline CsUO4 at its relaxed geometry.

Output
- Size of the total moment: 1.04 μB/f.u.
- Crystal system: monoclinic
- Raw total energy: -7.5953 eV/atom

Cell and atoms, written as CIF:
```
data_CsUO4
_cell_length_a 14.4672
_cell_length_b 6.4820
_cell_length_c 6.4014
_cell_angle_alpha 90.00
_cell_angle_beta 112.97
_cell_angle_gamma 90.00
_space_group_name_H-M_alt 'C 1 2/m 1'
_space_group_IT_number 12
loop_
_space_group_symop_operation_xyz
'x,y,z'
'-x,-y,-z'
'-x,y,-z'
'x,-y,z'
'x+1/2,y+1/2,z'
'-x+1/2,-y+1/2,-z'
'-x+1/2,y+1/2,-z'
'x+1/2,-y+1/2,z'
loop_
_atom_site_label
_atom_site_fract_x
_atom_site_fract_y
_atom_site_fract_z
Cs1 0.1779 0.0000 0.2705
U1 0.0365 0.5000 0.7715
O1 0.0000 0.3045 0.0000
O2 0.0873 0.3382 0.4884
O3 0.1722 0.5000 0.9682
```

=====

Values of raw formation energy, in order: -1.733, -1.893, -3.073, -2.693, -2.682, -2.118, -2.837, -2.266, all in eV/atom.